Record 1
The following is a PBE-GGA calculation of a relaxed PuFe2W crystal, from Alexandria via LeMat-Bulk.

Output
E_form ... 68 kJ/mol of formula units

Cell lengths 2.989, 2.989, 6.973 Å; angles 90.00, 90.00, 90.00 degrees
Last column: magnetic moment on the atom in μB.
Sites, in units of the cell vectors:
Fe 0.000 0.000 0.794  -1.40
Fe 0.000 0.000 0.206  -1.40
W 0.500 0.500 0.000  0.26
Pu 0.500 0.500 0.500  5.12

Record 2
The following is a PBE-GGA calculation of a relaxed MgZrSc2 crystal, from Alexandria via LeMat-Bulk.

Output
E_form ... 20 kJ/mol of formula units

Cell lengths 4.504, 4.538, 4.538 Å; angles 90.00, 90.00, 90.00 degrees
Sites, in units of the cell vectors:
Mg 0.500 0.000 0.500
Sc 0.000 0.000 0.000
Sc 0.000 0.500 0.500
Zr 0.500 0.500 0.000

Record 3
The following is a PBE-GGA calculation of a relaxed Li6NdAu12 crystal, from Alexandria via LeMat-Bulk.

Output
E_form ... -686 kJ/mol of formula units

Cell lengths 7.429, 7.429, 7.429 Å; angles 106.28, 106.28, 106.28 degrees
Sites, in units of the cell vectors:
Li 0.702 0.283 0.283
Li 0.283 0.283 0.702
Li 0.283 0.702 0.283
Li 0.717 0.717 0.298
Li 0.298 0.717 0.717
Li 0.717 0.298 0.717
Nd 0.000 0.000 0.000
Au 0.880 0.120 0.500
Au 0.871 0.624 0.624
Au 0.624 0.624 0.871
Au 0.376 0.129 0.376
Au 0.376 0.376 0.129
Au 0.129 0.376 0.376
Au 0.120 0.500 0.880
Au 0.500 0.880 0.120
Au 0.120 0.880 0.500
Au 0.880 0.500 0.120
Au 0.500 0.120 0.880
Au 0.624 0.871 0.624

Record 4
The following is a PBE-GGA calculation of a relaxed InTeSeN2 crystal, from Alexandria via LeMat-Bulk.

Output
Offset from the most stable computed form ... 0.0 kJ/mol of atoms
Formation energy from raw total energies ... 1096.0 meV/atom

Cell lengths 4.078, 4.078, 5.782 Å; angles 90.00, 90.00, 90.00 degrees
Sites, in units of the cell vectors:
N 0.000 0.500 0.000
N 0.500 0.000 0.000
Te 0.000 0.000 0.000
Se 0.000 0.000 0.500
In 0.500 0.500 0.500

Record 5
The following is a PBE-GGA calculation of a relaxed Cs4SmBr7 crystal, from Alexandria via LeMat-Bulk.

Output
Formation energy from raw total energies ... -1624.1 meV/atom

Cell lengths 5.653, 11.471, 9.730 Å; angles 83.46, 73.11, 75.73 degrees
Sites, in units of the cell vectors:
Cs 0.609 0.238 0.544
Cs 0.391 0.762 0.456
Cs 0.735 0.634 0.896
Cs 0.265 0.366 0.104
Sm 0.000 0.000 0.000
Br 0.729 0.892 0.651
Br 0.271 0.108 0.349
Br 0.051 0.773 0.126
Br 0.949 0.227 0.874
Br 0.373 0.514 0.741
Br 0.500 0.000 0.000
Br 0.627 0.486 0.259

Record 6
The following is a PBE-GGA calculation of a relaxed HoGa2SiNi2 crystal, from Alexandria via LeMat-Bulk.

Output
Formation energy from raw total energies ... -390.1 meV/atom

Cell lengths 4.283, 4.283, 5.449 Å; angles 90.00, 90.00, 90.00 degrees
Sites, in units of the cell vectors:
Ho 0.000 0.000 0.500
Ga 0.500 0.500 0.735
Ga 0.500 0.500 0.265
Si 0.000 0.000 0.000
Ni 0.500 0.000 0.000
Ni 0.000 0.500 0.000

Record 7
The following is a PBE-GGA calculation of a relaxed LaNd2Dy4Er crystal, from Alexandria via LeMat-Bulk.

Output
E_form ... 14 kJ/mol of formula units

Cell lengths 7.218, 12.412, 12.408 Å; angles 131.36, 125.55, 90.07 degrees
Sites, in units of the cell vectors:
La 0.500 0.500 0.500
La 0.000 0.000 0.000
Nd 0.500 0.000 0.000
Nd 0.500 0.000 0.500
Nd 0.000 0.000 0.500
Nd 0.500 0.500 0.000
Dy 0.250 0.747 0.999
Dy 0.755 0.252 0.504
Dy 0.245 0.748 0.496
Dy 0.750 0.253 0.001
Dy 0.747 0.748 0.999
Dy 0.747 0.747 0.496
Dy 0.253 0.253 0.504
Dy 0.252 0.252 0.001
Er 0.000 0.500 0.000
Er 0.000 0.500 0.500

Record 8
The following is a PBE-GGA calculation of a relaxed CoMo3 crystal, from Alexandria via LeMat-Bulk.

Output
E_form ... 65 kJ/mol of formula units

Cell lengths 5.048, 5.048, 5.048 Å; angles 143.20, 129.00, 64.53 degrees
Last column: magnetic moment on the atom in μB.
Sites, in units of the cell vectors:
Co 0.000 0.000 0.000  1.21
Mo 0.256 0.756 0.500  0.02
Mo 0.500 0.500 0.000  0.16
Mo 0.744 0.244 0.500  0.02

Record 9
The following is a PBE-GGA calculation of a relaxed La2TbErTm crystal, from Alexandria via LeMat-Bulk.

Output
E_form ... 181 kJ/mol of formula units

Cell lengths 6.484, 6.484, 8.856 Å; angles 111.47, 90.00, 90.00 degrees
Sites, in units of the cell vectors:
La 0.500 0.250 0.000
La 0.000 0.750 0.000
La 0.500 0.750 0.000
La 0.000 0.250 0.000
Tb 0.250 0.841 0.683
Tb 0.750 0.159 0.317
Er 0.250 0.658 0.315
Er 0.750 0.342 0.685
Tm 0.750 0.750 0.500
Tm 0.250 0.250 0.500

Record 10
The following is a PBE-GGA calculation of a relaxed LiFeSe2 crystal, from Alexandria via LeMat-Bulk.

Output
Formation energy from raw total energies ... -401.5 meV/atom

Cell lengths 6.827, 6.827, 6.827 Å; angles 152.51, 150.77, 40.55 degrees
Last column: magnetic moment on the atom in μB.
Sites, in units of the cell vectors:
Fe 0.551 0.551 0.000  2.72
Li 0.290 0.790 0.500  0.01
Se 0.965 0.965 0.000  0.02
Se 0.694 0.194 0.500  0.03

Record 11
The following is a PBE-GGA calculation of a relaxed Tb6Bi3Sb2Se crystal, from Alexandria via LeMat-Bulk.

Output
Formation energy from raw total energies ... -1116.8 meV/atom

Cell lengths 4.403, 8.811, 9.829 Å; angles 102.96, 102.94, 90.00 degrees
Sites, in units of the cell vectors:
Tb 0.339 0.915 0.677
Tb 0.668 0.580 0.336
Tb 0.661 0.085 0.323
Tb 0.000 0.242 0.000
Tb 0.000 0.758 0.000
Tb 0.332 0.420 0.664
Bi 0.500 0.500 0.000
Bi 0.832 0.165 0.664
Bi 0.168 0.835 0.336
Sb 0.835 0.668 0.669
Sb 0.165 0.332 0.331
Se 0.500 0.000 0.000

Record 12
The following is a PBE-GGA calculation of a relaxed Th4Si3PtRh12 crystal, from Alexandria via LeMat-Bulk.

Output
Formation energy from raw total energies ... -477.8 meV/atom

Cell lengths 7.931, 7.931, 7.931 Å; angles 109.47, 109.47, 109.47 degrees
Sites, in units of the cell vectors:
Th 0.500 0.500 0.500
Th 0.000 0.000 0.500
Th 0.500 0.000 0.000
Th 0.000 0.500 0.000
Si 0.500 0.000 0.500
Si 0.500 0.500 0.000
Si 0.000 0.500 0.500
Pt 0.000 0.000 0.000
Rh 0.250 0.500 0.750
Rh 0.732 0.000 0.732
Rh 0.268 0.000 0.268
Rh 0.750 0.500 0.250
Rh 0.732 0.732 0.000
Rh 0.268 0.268 0.000
Rh 0.750 0.250 0.500
Rh 0.250 0.750 0.500
Rh 0.500 0.250 0.750
Rh 0.000 0.732 0.732
Rh 0.500 0.750 0.250
Rh 0.000 0.268 0.268

Record 13
The following is a PBE-GGA calculation of a relaxed V6TcMo crystal, from Alexandria via LeMat-Bulk.

Output
E_form ... -113 kJ/mol of formula units
Offset from the most stable computed form ... 0.0 kJ/mol of atoms

Cell lengths 4.339, 8.401, 5.183 Å; angles 144.14, 90.00, 90.00 degrees
Sites, in units of the cell vectors:
V 0.000 0.878 0.250
V 0.000 0.372 0.250
V 0.000 0.373 0.745
V 0.500 0.621 0.750
V 0.500 0.128 0.750
V 0.500 0.126 0.252
Tc 0.000 0.879 0.758
Mo 0.500 0.623 0.246

Record 14
The following is a PBE-GGA calculation of a relaxed PrHoBr6 crystal, from Alexandria via LeMat-Bulk.

Output
Formation energy from raw total energies ... -1824.3 meV/atom

Cell lengths 7.162, 7.162, 7.740 Å; angles 62.43, 62.43, 60.00 degrees
Sites, in units of the cell vectors:
Pr 0.000 0.000 0.000
Ho 0.500 0.500 0.500
Br 0.098 0.416 0.744
Br 0.742 0.099 0.744
Br 0.584 0.258 0.256
Br 0.258 0.901 0.256
Br 0.902 0.584 0.256
Br 0.416 0.742 0.744

Record 15
The following is a PBE-GGA calculation of a relaxed Mg2Si3 crystal, from Alexandria via LeMat-Bulk.

Output
Offset from the most stable computed form ... 5.5 kJ/mol of atoms
Formation energy from raw total energies ... 86.3 meV/atom

Cell lengths 5.323, 5.323, 19.112 Å; angles 79.48, 79.48, 41.93 degrees
Sites, in units of the cell vectors:
Mg 0.113 0.113 0.192
Mg 0.194 0.194 0.805
Mg 0.782 0.782 0.054
Mg 0.526 0.526 0.944
Mg 0.937 0.937 0.696
Mg 0.372 0.372 0.299
Mg 0.605 0.605 0.552
Mg 0.035 0.035 0.408
Si 0.067 0.067 0.050
Si 0.241 0.241 0.945
Si 0.450 0.450 0.126
Si 0.865 0.865 0.875
Si 0.653 0.653 0.696
Si 0.648 0.648 0.301
Si 0.900 0.900 0.552
Si 0.750 0.750 0.406
Si 0.272 0.272 0.624
Si 0.317 0.317 0.478
Si 0.825 0.825 0.196
Si 0.479 0.479 0.801

Record 16
The following is a PBE-GGA calculation of a relaxed Li6SnF12 crystal, from Alexandria via LeMat-Bulk.

Output
Formation energy from raw total energies ... -2454.6 meV/atom

Cell lengths 6.044, 6.044, 6.044 Å; angles 99.27, 99.27, 99.27 degrees
Last column: magnetic moment on the atom in μB.
Sites, in units of the cell vectors:
Li 0.145 0.344 0.597  0.00
Li 0.656 0.403 0.855  0.00
Li 0.403 0.855 0.656  0.00
Li 0.855 0.656 0.403  0.00
Li 0.344 0.597 0.145  0.00
Li 0.597 0.145 0.344  0.00
Sn 0.000 0.000 0.000  0.00
F 0.406 0.189 0.579  0.28
F 0.189 0.579 0.406  0.28
F 0.579 0.406 0.189  0.28
F 0.594 0.811 0.421  0.28
F 0.811 0.421 0.594  0.28
F 0.421 0.594 0.811  0.28
F 0.054 0.883 0.688  0.02
F 0.312 0.946 0.117  0.02
F 0.117 0.312 0.946  0.02
F 0.946 0.117 0.312  0.02
F 0.688 0.054 0.883  0.02
F 0.883 0.688 0.054  0.02

Record 17
The following is a PBE-GGA calculation of a relaxed Tc2AgTeBr crystal, from Alexandria via LeMat-Bulk.

Output
Formation energy from raw total energies ... 1653.9 meV/atom

Cell lengths 4.626, 5.846, 4.626 Å; angles 90.00, 90.00, 90.00 degrees
Last column: magnetic moment on the atom in μB.
Sites, in units of the cell vectors:
Te 0.000 0.500 0.000  0.09
Tc 0.000 0.000 0.500  1.52
Tc 0.500 0.000 0.000  1.78
Ag 0.500 0.500 0.500  0.02
Br 0.000 0.000 0.000  -0.03

Record 18
The following is a PBE-GGA calculation of a relaxed HoEr7Tm4 crystal, from Alexandria via LeMat-Bulk.

Output
E_form ... 108 kJ/mol of formula units
Offset from the most stable computed form ... 0.0 kJ/mol of atoms

Cell lengths 6.692, 8.566, 8.902 Å; angles 83.37, 94.24, 47.67 degrees
Sites, in units of the cell vectors:
Ho 0.000 0.000 0.000
Er 0.734 0.516 0.949
Er 0.266 0.484 0.051
Er 0.982 0.316 0.641
Er 0.018 0.684 0.359
Er 0.297 0.810 0.612
Er 0.500 0.000 0.000
Er 0.703 0.190 0.388
Tm 0.553 0.640 0.286
Tm 0.447 0.360 0.714
Tm 0.777 0.839 0.688
Tm 0.223 0.161 0.312

Record 19
The following is a PBE-GGA calculation of a relaxed K2AgOs crystal, from Alexandria via LeMat-Bulk.

Output
E_form ... 435 kJ/mol of formula units
Offset from the most stable computed form ... 25.2 kJ/mol of atoms

Cell lengths 6.480, 6.480, 6.480 Å; angles 154.81, 130.84, 56.02 degrees
Sites, in units of the cell vectors:
Ag 0.250 0.750 0.500
K 0.001 0.001 0.000
K 0.499 0.499 0.000
Os 0.750 0.250 0.500

Record 20
The following is a PBE-GGA calculation of a relaxed Sr3SnN crystal, from Alexandria via LeMat-Bulk.

Output
Formation energy from raw total energies ... -574.9 meV/atom

Cell lengths 7.626, 7.038, 6.002 Å; angles 105.43, 92.20, 89.61 degrees
Sites, in units of the cell vectors:
Sr 0.600 0.763 0.969
Sr 0.183 0.458 0.916
Sr 0.275 0.733 0.463
Sr 0.421 0.182 0.325
Sr 0.037 0.010 0.053
Sr 0.858 0.428 0.410
Sn 0.649 0.266 0.861
Sn 0.809 0.925 0.518
N 0.294 0.807 0.084
N 0.164 0.385 0.295

Record 21
The following is a PBE-GGA calculation of a relaxed CrC2 crystal, from Alexandria via LeMat-Bulk.

Output
E_form ... 353 kJ/mol of formula units
Offset from the most stable computed form ... 69.8 kJ/mol of atoms

Cell lengths 3.251, 3.251, 10.999 Å; angles 90.00, 90.00, 120.00 degrees
Last column: magnetic moment on the atom in μB.
Sites, in units of the cell vectors:
Cr 0.333 0.667 0.912  1.03
Cr 0.667 0.333 0.412  1.03
Cr 0.667 0.333 0.088  1.03
Cr 0.333 0.667 0.588  1.03
C 0.000 0.000 0.000  -0.11
C 0.000 0.000 0.500  -0.11
C 0.843 0.686 0.250  -0.04
C 0.157 0.314 0.750  -0.04
C 0.314 0.157 0.250  -0.04
C 0.843 0.157 0.250  -0.04
C 0.157 0.843 0.750  -0.04
C 0.686 0.843 0.750  -0.04

Record 22
The following is a PBE-GGA calculation of a relaxed KGaCo3 crystal, from Alexandria via LeMat-Bulk.

Output
E_form ... 1110 kJ/mol of formula units
Offset from the most stable computed form ... 122.1 kJ/mol of atoms

Cell lengths 4.458, 4.458, 4.458 Å; angles 90.00, 90.00, 90.00 degrees
Last column: magnetic moment on the atom in μB.
Sites, in units of the cell vectors:
K 0.000 0.000 0.000  -0.05
Co 0.000 0.500 0.000  1.37
Co 0.000 0.000 0.500  1.27
Co 0.500 0.000 0.000  1.35
Ga 0.500 0.500 0.500  -0.01

Results for calculated volume: 15.57; 23.18; 18.31; 19.23; 48.71; 16.66; 32.91; 14.79; 34.65; 17.89; 30.14; 19.20; 13.84; 36.33; 17.75; 11.11; 25.02; 30.55; 21.78; 31.03; 8.39; 17.72 (in Å³ per atom, following the order of the records).
Results for electronic total energy: -0.79939; -0.41521; -0.24252; -0.30187; -0.24091; -0.36698; -0.34260; -0.71515; -0.31814; -0.34823; -0.39539; -0.55037; -0.70817; -0.31227; -0.27969; -0.32718; -0.29588; -0.32636; -0.21628; -0.29765; -0.59814; -0.20492 (in Ry/atom, following the order of the records).